DFT (GGA-PBEsol) results for a geometry-optimized AlRe2Si structure.

The structure in CIF format:
```
data_AlRe2Si
_cell_length_a 2.8026
_cell_length_b 2.8026
_cell_length_c 24.7569
_cell_angle_alpha 90.00
_cell_angle_beta 90.00
_cell_angle_gamma 120.00
_symmetry_space_group_name_H-M 'R -3 m'
_symmetry_Int_Tables_number 166
_symmetry_space_group_name_Hall '-R 3 2"'
loop_
_atom_site_label
_atom_site_type_symbol
_atom_site_fract_x
_atom_site_fract_y
_atom_site_fract_z
Al1 Al 0.0000 0.0000 0.0000
Re1 Re 0.0000 0.0000 0.2453
Si1 Si 0.0000 0.0000 0.5000
```

Output
E_form (uncorrected) (eV/atom): -0.05

DFT (GGA-PBEsol) results for a geometry-optimized LaNi2Os structure.

The structure in CIF format:
```
data_LaNi2Os
_cell_length_a 4.121
_cell_length_b 4.121
_cell_length_c 7.351
_cell_angle_alpha 90.00
_cell_angle_beta 90.00
_cell_angle_gamma 90.00
_symmetry_space_group_name_H-M 'I 4/m m m'
_symmetry_Int_Tables_number 139
_symmetry_space_group_name_Hall '-I 4 2'
loop_
_atom_site_label
_atom_site_type_symbol
_atom_site_fract_x
_atom_site_fract_y
_atom_site_fract_z
La1 La 0.000 0.000 0.000
Ni1 Ni 0.000 0.500 0.250
Os1 Os 0.000 0.000 0.500
```

Output
DFT formation energy (eV/atom): 0.3241

DFT (GGA-PBEsol) results for a geometry-optimized Ho3Al12Ru4 structure.

The structure in CIF format:
```
data_Ho3Al12Ru4
_cell_length_a 8.7104
_cell_length_b 8.7104
_cell_length_c 9.4788
_cell_angle_alpha 90.00
_cell_angle_beta 90.00
_cell_angle_gamma 120.00
_symmetry_space_group_name_H-M 'P 63/m m c'
_symmetry_Int_Tables_number 194
_symmetry_space_group_name_Hall '-P 6c 2c'
loop_
_atom_site_label
_atom_site_type_symbol
_atom_site_fract_x
_atom_site_fract_y
_atom_site_fract_z
Ho1 Ho 0.1934 0.3867 0.2500
Al1 Al 0.0000 0.0000 0.2500
Al2 Al 0.1217 0.5608 0.7500
Al3 Al 0.1625 0.3249 0.5769
Al4 Al 0.3333 0.6667 0.0171
Ru1 Ru 0.0000 0.0000 0.0000
Ru2 Ru 0.0000 0.5000 0.0000
```

Output
DFT formation energy (eV/atom): -0.6460